! PmHo6Ag | Alexandria | PBE-GGA | optimized geometry; values from VASP
! **ΔH_f (0 K)**: 44 meV/atom
! **Magnetization**: 0.0 μB/f.u.
! **Space group**: R-3, No. 148
&SYSTEM
  ibrav = 0, nat = 8, ntyp = 3
/
ATOMIC_SPECIES
Pm 145.00 Pm.upf
Ho 164.93 Ho.upf
Ag 107.87 Ag.upf
ATOMIC_POSITIONS crystal
Pm 0.000 0.000 0.000
Ho 0.071 0.547 0.264
Ho 0.264 0.071 0.547
Ho 0.453 0.736 0.929
Ho 0.547 0.264 0.071
Ho 0.736 0.929 0.453
Ho 0.929 0.453 0.736
Ag 0.500 0.500 0.500
CELL_PARAMETERS angstrom
4.649 2.684 3.230
-4.649 2.684 3.230
0.000 -5.368 3.230